No. 1
VASP calculation (GGA-PBE) on a relaxed structure of PrY2Bi3.

Lattice parameters (Å, degrees): 4.512 4.512 11.059 90.00 90.00 120.00
Fractional coordinates of all 6 atoms:
Pr1 0.000 0.000 0.000
Y1 0.333 0.667 0.337
Y2 0.667 0.333 0.663
Bi1 0.000 0.000 0.500
Bi2 0.333 0.667 0.825
Bi3 0.667 0.333 0.175

The calculation puts the calculated total energy at -35.4 eV per formula unit. The space group is P-3m1 (164).

No. 2
VASP calculation (GGA-PBE) on a relaxed structure of In3Fe2Os3.

Lattice parameters (Å, degrees): 6.655 6.655 6.655 46.11 46.11 46.11
Fractional coordinates of all 8 atoms:
In1 0.000 0.500 0.500
In2 0.500 0.000 0.500
In3 0.500 0.500 0.000
Fe1 0.205 0.205 0.205
Fe2 0.795 0.795 0.795
Os1 0.078 0.078 0.078
Os2 0.500 0.500 0.500
Os3 0.922 0.922 0.922

The calculation puts the calculated total energy at -48.2 eV per formula unit. The space group is R-3m (166).

No. 3
VASP calculation (GGA-PBE) on a relaxed structure of NaGdSnTe3.

Lattice parameters (Å, degrees): 7.906 7.906 11.466 90.00 90.00 146.14
Fractional coordinates of all 12 atoms:
Na1 0.229 0.771 0.750
Na2 0.771 0.229 0.250
Gd1 0.000 0.000 0.000
Gd2 0.000 0.000 0.500
Sn1 0.484 0.516 0.250
Sn2 0.516 0.484 0.750
Te1 0.114 0.886 0.250
Te2 0.359 0.641 0.047
Te3 0.359 0.641 0.453
Te4 0.641 0.359 0.547
Te5 0.641 0.359 0.953
Te6 0.886 0.114 0.750

The calculation puts the calculated total energy at -23.8 eV per formula unit. The space group is Cmcm (63).

No. 4
VASP calculation (GGA-PBE) on a relaxed structure of MgGaPt2.

Lattice parameters (Å, degrees): 4.094 4.094 3.656 90.00 90.00 90.00
Fractional coordinates of all 4 atoms:
Mg1 0.000 0.000 0.000
Ga1 0.500 0.500 0.000
Pt1 0.000 0.500 0.500
Pt2 0.500 0.000 0.500

The calculation puts the calculated total energy at -19.8 eV per formula unit. The space group is P4/mmm (123).

No. 5
VASP calculation (GGA-PBE) on a relaxed structure of Dy2SiGePt.

Lattice parameters (Å, degrees): 5.643 5.643 10.303 115.55 115.55 44.69
Fractional coordinates of all 10 atoms:
Dy1 0.007 0.007 0.329
Dy2 0.186 0.186 0.114
Dy3 0.814 0.814 0.886
Dy4 0.993 0.993 0.671
Si1 0.362 0.362 0.441
Si2 0.638 0.638 0.559
Ge1 0.473 0.473 0.115
Ge2 0.527 0.527 0.885
Pt1 0.269 0.269 0.649
Pt2 0.731 0.731 0.351

The calculation puts the calculated total energy at -30.5 eV per formula unit. The space group is C2/m (12).

No. 6
VASP calculation (GGA-PBE) on a relaxed structure of Ba2AgIr.

Lattice parameters (Å, degrees): 6.535 4.653 9.045 90.00 90.65 90.00
Fractional coordinates of all 8 atoms:
Ba1 0.118 0.250 0.308
Ba2 0.376 0.250 0.832
Ba3 0.624 0.750 0.168
Ba4 0.882 0.750 0.692
Ag1 0.383 0.750 0.537
Ag2 0.617 0.250 0.463
Ir1 0.057 0.750 0.017
Ir2 0.943 0.250 0.983

The calculation puts the calculated total energy at -16.4 eV per formula unit. The space group is P2_1/m (11).

No. 7
VASP calculation (GGA-PBE) on a relaxed structure of Zr2W4S3N3.

Lattice parameters (Å, degrees): 6.094 6.094 12.675 111.36 111.36 54.82
Fractional coordinates of all 24 atoms:
Zr1 0.033 0.876 0.598
Zr2 0.124 0.967 0.902
Zr3 0.876 0.033 0.098
Zr4 0.967 0.124 0.402
W1 0.262 0.396 0.070
W2 0.351 0.458 0.390
W3 0.396 0.262 0.570
W4 0.458 0.351 0.890
W5 0.542 0.649 0.110
W6 0.604 0.738 0.430
W7 0.649 0.542 0.610
W8 0.738 0.604 0.930
S1 0.036 0.309 0.773
S2 0.309 0.036 0.273
S3 0.412 0.588 0.750
S4 0.588 0.412 0.250
S5 0.691 0.964 0.727
S6 0.964 0.691 0.227
N1 0.000 0.500 0.500
N2 0.173 0.683 0.989
N3 0.317 0.827 0.511
N4 0.500 0.000 0.000
N5 0.683 0.173 0.489
N6 0.827 0.317 0.011

The calculation puts the calculated total energy at -112.1 eV per formula unit. The space group is C2/c (15).

No. 8
VASP calculation (GGA-PBE) on a relaxed structure of K3NaIr2O6.

Lattice parameters (Å, degrees): 5.630 5.630 6.090 98.94 98.94 119.99
Fractional coordinates of all 12 atoms:
K1 0.000 0.000 0.000
K2 0.342 0.658 0.000
K3 0.658 0.342 0.000
Na1 0.500 0.500 0.500
Ir1 0.167 0.833 0.500
Ir2 0.833 0.167 0.500
O1 0.072 0.440 0.321
O2 0.193 0.193 0.676
O3 0.440 0.072 0.321
O4 0.560 0.928 0.679
O5 0.807 0.807 0.324
O6 0.928 0.560 0.679

The calculation puts the calculated total energy at -65.4 eV per formula unit. The space group is C2/m (12).

No. 9
VASP calculation (GGA-PBE) on a relaxed structure of RbDy.

Lattice parameters (Å, degrees): 6.387 6.387 6.387 60.00 60.00 60.00
Fractional coordinates of all 2 atoms:
Rb1 0.000 0.000 0.000
Dy1 0.250 0.250 0.250

The calculation puts the calculated total energy at -1.8 eV per formula unit. The space group is F-43m (216).

No. 10
VASP calculation (GGA-PBE) on a relaxed structure of PuZnGa.

Lattice parameters (Å, degrees): 4.563 4.563 4.563 60.00 60.00 60.00
Fractional coordinates of all 3 atoms:
Pu1 0.000 0.000 0.000
Zn1 0.750 0.750 0.750
Ga1 0.500 0.500 0.500

The calculation puts the calculated total energy at -18.7 eV per formula unit. The space group is F-43m (216).

No. 11
VASP calculation (GGA-PBE) on a relaxed structure of AcUPd.

Lattice parameters (Å, degrees): 4.915 4.915 4.915 60.00 60.00 60.00
Fractional coordinates of all 3 atoms:
Ac1 0.000 0.000 0.000
U1 0.250 0.250 0.250
Pd1 0.500 0.500 0.500

The energy relative to the elements comes out at 0.630 eV/atom. The space group is F-43m (216).

No. 12
VASP calculation (GGA-PBE) on a relaxed structure of RbW2Br6N2.

Lattice parameters (Å, degrees): 9.099 9.099 9.099 155.93 100.97 84.07
Fractional coordinates of all 11 atoms:
Rb1 0.000 0.000 0.000
W1 0.352 0.500 0.852
W2 0.648 0.500 0.148
Br1 0.065 0.369 0.697
Br2 0.328 0.631 0.697
Br3 0.350 0.350 0.000
Br4 0.650 0.650 0.000
Br5 0.672 0.369 0.303
Br6 0.935 0.631 0.303
N1 0.373 0.000 0.373
N2 0.627 0.000 0.627

The calculation puts the calculated total energy at -59.4 eV per formula unit. The space group is Immm (71).

No. 13
VASP calculation (GGA-PBE) on a relaxed structure of PaMoOs.

Lattice parameters (Å, degrees): 4.511 4.511 4.511 60.00 60.00 60.00
Fractional coordinates of all 3 atoms:
Pa1 0.000 0.000 0.000
Mo1 0.500 0.500 0.500
Os1 0.750 0.750 0.750

The energy relative to the elements comes out at 0.409 eV/atom. The space group is F-43m (216).

No. 14
VASP calculation (GGA-PBE) on a relaxed structure of Hf2ZrNi2As4Pd2.

Lattice parameters (Å, degrees): 6.509 3.873 7.539 90.00 90.03 90.00
Fractional coordinates of all 11 atoms:
Hf1 0.000 0.000 0.000
Hf2 0.428 0.500 0.511
Zr1 0.501 0.000 0.139
Ni1 0.118 0.000 0.379
Ni2 0.319 0.500 0.883
As1 0.185 0.000 0.692
As2 0.212 0.500 0.196
As3 0.719 0.500 0.939
As4 0.729 0.000 0.457
Pd1 0.582 0.000 0.761
Pd2 0.827 0.500 0.269

The calculation puts the calculated total energy at -77.0 eV per formula unit. The space group is Pm (6).

No. 15
VASP calculation (GGA-PBE) on a relaxed structure of TaBeNO.

Lattice parameters (Å, degrees): 3.951 3.951 4.884 90.00 90.00 90.00
Fractional coordinates of all 8 atoms:
Ta1 0.250 0.750 0.000
Ta2 0.750 0.250 0.000
Be1 0.250 0.250 0.485
Be2 0.750 0.750 0.515
N1 0.250 0.250 0.146
N2 0.750 0.750 0.854
O1 0.250 0.750 0.500
O2 0.750 0.250 0.500

The calculation puts the calculated total energy at -33.3 eV per formula unit. The space group is P4/nmm (129).

No. 16
VASP calculation (GGA-PBE) on a relaxed structure of HoEr2Tl3CuAg2.

Lattice parameters (Å, degrees): 3.826 7.883 7.883 120.05 90.00 90.00
Fractional coordinates of all 9 atoms:
Ho1 0.000 0.000 0.000
Er1 0.000 0.396 0.791
Er2 0.000 0.791 0.396
Tl1 0.500 0.136 0.396
Tl2 0.500 0.396 0.136
Tl3 0.500 0.655 0.655
Cu1 0.000 0.396 0.396
Ag1 0.500 0.063 0.728
Ag2 0.500 0.728 0.063

The calculation puts the calculated total energy at -32.7 eV per formula unit. The space group is Amm2 (38).

No. 17
VASP calculation (GGA-PBE) on a relaxed structure of Al2CdTe2Se2.

Lattice parameters (Å, degrees): 6.052 6.091 7.028 114.30 114.73 90.15
Fractional coordinates of all 7 atoms:
Al1 0.000 0.000 0.000
Al2 0.226 0.772 0.499
Cd1 0.498 0.533 0.996
Te1 0.380 0.384 0.282
Te2 0.631 0.120 0.715
Se1 0.092 0.653 0.731
Se2 0.895 0.918 0.266

The calculation puts the calculated total energy at -26.1 eV per formula unit. The space group is P1 (1).

No. 18
VASP calculation (GGA-PBE) on a relaxed structure of LaSmCo2Ge2.

Lattice parameters (Å, degrees): 4.163 4.163 6.863 90.00 90.00 90.00
Fractional coordinates of all 6 atoms:
La1 0.000 0.000 0.000
Sm1 0.500 0.500 0.621
Co1 0.000 0.500 0.319
Co2 0.500 0.000 0.319
Ge1 0.000 0.000 0.504
Ge2 0.500 0.500 0.137

The calculation puts the calculated total energy at -36.8 eV per formula unit. The space group is P4mm (99).

No. 19
VASP calculation (GGA-PBE) on a relaxed structure of CsMgNbPd.

Lattice parameters (Å, degrees): 5.286 5.286 5.286 60.00 60.00 60.00
Fractional coordinates of all 4 atoms:
Cs1 0.000 0.000 0.000
Mg1 0.250 0.250 0.250
Nb1 0.500 0.500 0.500
Pd1 0.750 0.750 0.750

The calculation puts the calculated total energy at -13.2 eV per formula unit. The space group is F-43m (216).

No. 20
VASP calculation (GGA-PBE) on a relaxed structure of Pr2Ni3Sn2Pt.

Lattice parameters (Å, degrees): 4.475 4.475 9.248 90.00 90.00 120.00
Fractional coordinates of all 8 atoms:
Pr1 0.000 0.000 0.000
Pr2 0.333 0.667 0.492
Ni1 0.000 0.000 0.314
Ni2 0.000 0.000 0.671
Ni3 0.333 0.667 0.180
Sn1 0.667 0.333 0.249
Sn2 0.667 0.333 0.732
Pt1 0.333 0.667 0.827

The calculation puts the calculated total energy at -44.9 eV per formula unit. The space group is P3m1 (156).